#w
# LiMn3Al2H6O12 | Alexandria via LeMat-Bulk | GGA+U | optimized geometry
# - density (g/cm³) = 3.207
data_LiMn3Al2H6O12
_chemical_formula_sum 'Li2 Mn6 Al4 H12 O24'
_symmetry_space_group_name_H-M 'P -1'
_symmetry_Int_Tables_number 2
_cell_length_a 5.885
_cell_length_b 7.960
_cell_length_c 10.148
_cell_angle_alpha 97.16
_cell_angle_beta 106.82
_cell_angle_gamma 100.84
loop_
_symmetry_equiv_pos_as_xyz
'x,y,z'
'-x,-y,-z'
loop_
_atom_site_label
_atom_site_fract_x
_atom_site_fract_y
_atom_site_fract_z
Li1 0.158 0.155 0.001
Mn1 0.000 0.500 0.500
Mn2 0.171 0.165 0.509
Mn3 0.329 0.835 0.490
Mn4 0.500 0.500 0.500
Al1 0.000 0.500 0.000
Al2 0.332 0.840 0.001
Al3 0.500 0.500 0.000
H1 0.043 0.331 0.204
H2 0.108 0.344 0.797
H3 0.249 0.983 0.209
H4 0.284 0.996 0.791
H5 0.397 0.665 0.211
H6 0.431 0.676 0.801
O1 0.004 0.280 0.617
O2 0.014 0.689 0.898
O3 0.165 0.962 0.600
O4 0.167 0.354 0.407
O5 0.171 0.384 0.901
O6 0.186 0.953 0.107
O7 0.333 0.646 0.593
O8 0.336 0.039 0.401
O9 0.338 0.631 0.106
O10 0.344 0.019 0.894
O11 0.483 0.692 0.903
O12 0.496 0.720 0.382

***

#x
# LiMn3Al2H6O12 | Alexandria via LeMat-Bulk | GGA+U | optimized geometry
# - density (g/cm³) = 3.270
data_LiMn3Al2H6O12
_chemical_formula_sum 'Li2 Mn6 Al4 H12 O24'
_symmetry_space_group_name_H-M 'C 1 2/m 1'
_symmetry_Int_Tables_number 12
_cell_length_a 5.109
_cell_length_b 8.844
_cell_length_c 9.677
_cell_angle_alpha 90.00
_cell_angle_beta 100.17
_cell_angle_gamma 90.00
loop_
_symmetry_equiv_pos_as_xyz
'x,y,z'
'-x,-y,-z'
'-x,y,-z'
'x,-y,z'
'x+1/2,y+1/2,z'
'-x+1/2,-y+1/2,-z'
'-x+1/2,y+1/2,-z'
'x+1/2,-y+1/2,z'
loop_
_atom_site_label
_atom_site_fract_x
_atom_site_fract_y
_atom_site_fract_z
Li1 0.000 0.000 0.000
Mn1 0.000 0.166 0.500
Mn2 0.000 0.500 0.500
Al1 0.000 0.333 0.000
H1 0.221 0.500 0.207
H2 0.244 0.177 0.207
O1 0.172 0.500 0.104
O2 0.193 0.000 0.603
O3 0.204 0.330 0.603
O4 0.216 0.182 0.104

***

#w wins, 0.017 eV/atom ahead of the next structure.